# 1
Compound: YPt2Br
Source: Alexandria via LeMat-Bulk
Functional: GGA-PBE
Structure: relaxed

```
YPt2Br
1.0
3.611 0.000 0.000
0.000 3.611 0.000
0.000 0.000 7.866
Y Pt Br
1 2 1
Cartesian
0.000 0.000 0.000 Y
0.000 0.000 5.298 Pt
1.805 1.805 6.006 Pt
1.805 1.805 1.734 Br
```

Results
ΔE_f (raw)   -0.699 eV/atom
Energy relative to the lowest polymorph listed for this composition   184 meV per atom

# 2
Compound: YPtBr
Source: Alexandria via LeMat-Bulk
Functional: GGA-PBE
Structure: relaxed

```
YPtBr
1.0
6.827 0.000 0.000
0.000 6.827 0.000
0.000 0.000 6.827
Y Pt Br
4 4 4
Cartesian
0.000 0.000 0.000 Y
0.000 3.414 3.414 Y
3.414 0.000 3.414 Y
3.414 3.414 0.000 Y
1.707 1.707 1.707 Pt
1.707 5.120 5.120 Pt
5.120 1.707 5.120 Pt
5.120 5.120 1.707 Pt
1.707 1.707 5.120 Br
1.707 5.120 1.707 Br
5.120 1.707 1.707 Br
5.120 5.120 5.120 Br
```

Results
ΔE_f (raw)   -0.929 eV/atom

# 3
Compound: YPtBr4
Source: Alexandria via LeMat-Bulk
Functional: GGA-PBE
Structure: relaxed

```
YPtBr4
1.0
0.000 4.248 4.248
4.248 0.000 4.248
4.248 4.248 0.000
Y Pt Br
1 1 4
Cartesian
0.000 0.000 0.000 Y
2.124 2.124 2.124 Pt
5.306 3.190 3.190 Br
3.190 5.306 3.190 Br
3.190 3.190 5.306 Br
5.306 5.306 5.306 Br
```

Results
ΔE_f (raw)   0.390 eV/atom

# 4
Compound: YPt2Br
Source: Alexandria via LeMat-Bulk
Functional: GGA-PBE
Structure: relaxed

```
YPt2Br
1.0
3.711 0.000 0.000
-1.855 3.213 0.000
0.000 0.000 22.726
Y Pt Br
3 6 3
Cartesian
0.000 0.000 0.000 Y
0.000 2.142 15.151 Y
1.855 1.071 7.575 Y
0.000 0.000 5.717 Pt
0.000 0.000 17.009 Pt
0.000 2.142 9.433 Pt
0.000 2.142 20.868 Pt
1.855 1.071 1.858 Pt
1.855 1.071 13.292 Pt
0.000 0.000 11.363 Br
0.000 2.142 3.788 Br
1.855 1.071 18.938 Br
```

Results
ΔE_f (raw)   -0.202 eV/atom
Energy relative to the lowest polymorph listed for this composition   681 meV per atom

Q: Which formula does entry 3 have?
A: YPtBr4